Version P
# La2TaAg (PBE-GGA, optimized geometry)
data_La2TaAg
_chemical_formula_sum 'La4 Ta2 Ag2'
_symmetry_space_group_name_H-M 'I m m m'
_symmetry_Int_Tables_number 71
_symmetry_space_group_name_Hall '-I 2 2'
_cell_length_a 3.654
_cell_length_b 5.526
_cell_length_c 10.088
_cell_angle_alpha 90.00
_cell_angle_beta 90.00
_cell_angle_gamma 90.00
loop_
_atom_site_label
_atom_site_fract_x
_atom_site_fract_y
_atom_site_fract_z
_atom_site_occupancy
La1 0.000 0.000 0.244 1
Ta1 0.000 0.500 0.500 1
Ag1 0.000 0.500 0.000 1
# Crystal system   orthorhombic


Version Q
# La2TaAg (PBE-GGA, optimized geometry)
data_La2TaAg
_chemical_formula_sum 'La2 Ta1 Ag1'
_symmetry_space_group_name_H-M 'P 1 m 1'
_symmetry_Int_Tables_number 6
_cell_length_a 3.296
_cell_length_b 5.444
_cell_length_c 5.823
_cell_angle_alpha 90.00
_cell_angle_beta 90.11
_cell_angle_gamma 90.00
loop_
_symmetry_equiv_pos_as_xyz
'x,y,z'
'x,-y,z'
loop_
_atom_site_label
_atom_site_fract_x
_atom_site_fract_y
_atom_site_fract_z
_atom_site_occupancy
La1 0.000 0.000 0.000 1
La2 0.004 0.500 0.565 1
Ta1 0.503 0.000 0.465 1
Ag1 0.502 0.500 0.100 1
# Crystal system   monoclinic


version Q is preferred energetically. Next in line: 243 meV/atom higher.


Version P
# La2TaAg (PBE-GGA, optimized geometry)
data_La2TaAg
_chemical_formula_sum 'La4 Ta2 Ag2'
_symmetry_space_group_name_H-M 'I m m 2'
_symmetry_Int_Tables_number 44
_cell_length_a 3.367
_cell_length_b 5.443
_cell_length_c 11.595
_cell_angle_alpha 90.00
_cell_angle_beta 90.00
_cell_angle_gamma 90.00
loop_
_symmetry_equiv_pos_as_xyz
'x,y,z'
'-x,-y,z'
'-x,y,z'
'x,-y,z'
'x+1/2,y+1/2,z+1/2'
'-x+1/2,-y+1/2,z+1/2'
'-x+1/2,y+1/2,z+1/2'
'x+1/2,-y+1/2,z+1/2'
loop_
_atom_site_label
_atom_site_fract_x
_atom_site_fract_y
_atom_site_fract_z
_atom_site_occupancy
La1 0.000 0.000 0.000 1
La2 0.000 0.500 0.206 1
Ta1 0.000 0.500 0.753 1
Ag1 0.000 0.000 0.446 1
# Crystal system   orthorhombic


Version Q
# La2TaAg (PBE-GGA, optimized geometry)
data_La2TaAg
_chemical_formula_sum 'La2 Ta1 Ag1'
_symmetry_space_group_name_H-M 'P m m m'
_symmetry_Int_Tables_number 47
_cell_length_a 3.430
_cell_length_b 5.244
_cell_length_c 5.445
_cell_angle_alpha 90.00
_cell_angle_beta 90.00
_cell_angle_gamma 90.00
loop_
_symmetry_equiv_pos_as_xyz
'x,y,z'
'-x,-y,-z'
'-x,-y,z'
'x,y,-z'
'x,-y,-z'
'-x,y,z'
'-x,y,-z'
'x,-y,z'
loop_
_atom_site_label
_atom_site_fract_x
_atom_site_fract_y
_atom_site_fract_z
_atom_site_occupancy
La1 0.000 0.000 0.000 1
La2 0.500 0.000 0.500 1
Ta1 0.000 0.500 0.500 1
Ag1 0.500 0.500 0.000 1
# Crystal system   orthorhombic


version P is preferred energetically. Next in line: 219 meV/atom higher.


Version P
# LaTaAg (PBE-GGA, optimized geometry)
data_LaTaAg
_chemical_formula_sum 'La1 Ta1 Ag1'
_symmetry_space_group_name_H-M 'P 3 m 1'
_symmetry_Int_Tables_number 156
_cell_length_a 3.0563
_cell_length_b 3.0563
_cell_length_c 8.2092
_cell_angle_alpha 90.00
_cell_angle_beta 90.00
_cell_angle_gamma 120.00
loop_
_symmetry_equiv_pos_as_xyz
'x,y,z'
'-y,x-y,z'
'-x+y,-x,z'
'-y,-x,z'
'-x+y,y,z'
'x,x-y,z'
loop_
_atom_site_label
_atom_site_fract_x
_atom_site_fract_y
_atom_site_fract_z
_atom_site_occupancy
La1 0.0000 0.0000 0.0000 1
Ta1 0.6667 0.3333 0.3533 1
Ag1 0.3333 0.6667 0.6417 1
# Crystal system   trigonal


Version Q
# LaTaAg (PBE-GGA, optimized geometry)
data_LaTaAg
_chemical_formula_sum 'La4 Ta4 Ag4'
_symmetry_space_group_name_H-M 'F -4 3 m'
_symmetry_Int_Tables_number 216
_symmetry_space_group_name_Hall 'F -4 2 3'
_cell_length_a 6.750
_cell_length_b 6.750
_cell_length_c 6.750
_cell_angle_alpha 90.00
_cell_angle_beta 90.00
_cell_angle_gamma 90.00
loop_
_atom_site_label
_atom_site_fract_x
_atom_site_fract_y
_atom_site_fract_z
_atom_site_occupancy
La1 0.000 0.000 0.000 1
Ta1 0.250 0.250 0.750 1
Ag1 0.000 0.000 0.500 1
# Crystal system   cubic


version P is preferred energetically. Next in line: 495 meV/atom higher.


Version P
# LaTaAg (PBE-GGA, optimized geometry)
data_LaTaAg
_chemical_formula_sum 'La2 Ta2 Ag2'
_symmetry_space_group_name_H-M 'I 4 m m'
_symmetry_Int_Tables_number 107
_symmetry_space_group_name_Hall 'I 4 -2'
_cell_length_a 3.152
_cell_length_b 3.152
_cell_length_c 13.752
_cell_angle_alpha 90.00
_cell_angle_beta 90.00
_cell_angle_gamma 90.00
loop_
_atom_site_label
_atom_site_fract_x
_atom_site_fract_y
_atom_site_fract_z
_atom_site_occupancy
La1 0.000 0.000 0.000 1
Ta1 0.000 0.000 0.678 1
Ag1 0.000 0.000 0.312 1
# Crystal system   tetragonal


Version Q
# LaTaAg (PBE-GGA, optimized geometry)
data_LaTaAg
_chemical_formula_sum 'La1 Ta1 Ag1'
_symmetry_space_group_name_H-M 'P -6 m 2'
_symmetry_Int_Tables_number 187
_symmetry_space_group_name_Hall 'P -6 2'
_cell_length_a 5.0879
_cell_length_b 5.0879
_cell_length_c 3.0764
_cell_angle_alpha 90.00
_cell_angle_beta 90.00
_cell_angle_gamma 120.00
loop_
_atom_site_label
_atom_site_fract_x
_atom_site_fract_y
_atom_site_fract_z
_atom_site_occupancy
La1 0.0000 0.0000 0.0000 1
Ta1 0.6667 0.3333 0.5000 1
Ag1 0.3333 0.6667 0.5000 1
# Crystal system   hexagonal


Version R
# LaTaAg (PBE-GGA, optimized geometry)
data_LaTaAg
_chemical_formula_sum 'La4 Ta4 Ag4'
_symmetry_space_group_name_H-M 'F -4 3 m'
_symmetry_Int_Tables_number 216
_symmetry_space_group_name_Hall 'F -4 2 3'
_cell_length_a 6.968
_cell_length_b 6.968
_cell_length_c 6.968
_cell_angle_alpha 90.00
_cell_angle_beta 90.00
_cell_angle_gamma 90.00
loop_
_atom_site_label
_atom_site_fract_x
_atom_site_fract_y
_atom_site_fract_z
_atom_site_occupancy
La1 0.000 0.000 0.000 1
Ta1 0.250 0.250 0.250 1
Ag1 0.250 0.250 0.750 1
# Crystal system   cubic


version P is preferred energetically. Next in line: 223 meV/atom higher.


Version P
# LaTa3Ag (PBE-GGA, optimized geometry)
data_LaTa3Ag
_chemical_formula_sum 'La1 Ta3 Ag1'
_symmetry_space_group_name_H-M 'P m -3 m'
_symmetry_Int_Tables_number 221
_symmetry_space_group_name_Hall '-P 4 2 3'
_cell_length_a 4.889
_cell_length_b 4.889
_cell_length_c 4.889
_cell_angle_alpha 90.00
_cell_angle_beta 90.00
_cell_angle_gamma 90.00
loop_
_atom_site_label
_atom_site_fract_x
_atom_site_fract_y
_atom_site_fract_z
_atom_site_occupancy
La1 0.000 0.000 0.000 1
Ta1 0.000 0.000 0.500 1
Ag1 0.500 0.500 0.500 1
# Crystal system   cubic


Version Q
# LaTa3Ag (PBE-GGA, optimized geometry)
data_LaTa3Ag
_chemical_formula_sum 'La1 Ta3 Ag1'
_symmetry_space_group_name_H-M 'P m -3 m'
_symmetry_Int_Tables_number 221
_symmetry_space_group_name_Hall '-P 4 2 3'
_cell_length_a 5.035
_cell_length_b 5.035
_cell_length_c 5.035
_cell_angle_alpha 90.00
_cell_angle_beta 90.00
_cell_angle_gamma 90.00
loop_
_atom_site_label
_atom_site_fract_x
_atom_site_fract_y
_atom_site_fract_z
_atom_site_occupancy
La1 0.000 0.000 0.000 1
Ta1 0.000 0.500 0.500 1
Ag1 0.500 0.500 0.500 1
# Crystal system   cubic


version Q is preferred energetically. Next in line: 586 meV/atom higher.


Version P
# La2TbAg (PBE-GGA, optimized geometry)
data_La2TbAg
_chemical_formula_sum 'La2 Tb1 Ag1'
_symmetry_space_group_name_H-M 'P 4/m m m'
_symmetry_Int_Tables_number 123
_symmetry_space_group_name_Hall '-P 4 2'
_cell_length_a 3.800
_cell_length_b 3.800
_cell_length_c 8.730
_cell_angle_alpha 90.00
_cell_angle_beta 90.00
_cell_angle_gamma 90.00
loop_
_atom_site_label
_atom_site_fract_x
_atom_site_fract_y
_atom_site_fract_z
_atom_site_occupancy
La1 0.000 0.000 0.220 1
Tb1 0.500 0.500 0.500 1
Ag1 0.500 0.500 0.000 1
# Crystal system   tetragonal


Version Q
# La2TbAg (PBE-GGA, optimized geometry)
data_La2TbAg
_chemical_formula_sum 'La8 Tb4 Ag4'
_symmetry_space_group_name_H-M 'C 1 2/c 1'
_symmetry_Int_Tables_number 15
_cell_length_a 12.257
_cell_length_b 6.335
_cell_length_c 6.643
_cell_angle_alpha 90.00
_cell_angle_beta 108.22
_cell_angle_gamma 90.00
loop_
_symmetry_equiv_pos_as_xyz
'x,y,z'
'-x,-y,-z'
'-x,y,-z+1/2'
'x,-y,z+1/2'
'x+1/2,y+1/2,z'
'-x+1/2,-y+1/2,-z'
'-x+1/2,y+1/2,-z+1/2'
'x+1/2,-y+1/2,z+1/2'
loop_
_atom_site_label
_atom_site_fract_x
_atom_site_fract_y
_atom_site_fract_z
_atom_site_occupancy
La1 0.216 0.014 0.110 1
Tb1 0.000 0.335 0.250 1
Ag1 0.000 0.194 0.750 1
# Crystal system   monoclinic


version P is preferred energetically. Next in line: 52 meV/atom higher.